CsPSeN2 PBE relaxed; V = 28.10 A^3/atom
1.0
4.3374 0.0000 0.0000
0.0000 4.3374 0.0000
0.0000 0.0000 7.4680
Cs P Se N
1 1 1 2
Cartesian
0.0000 0.0000 0.0000
2.1687 2.1687 3.7340
0.0000 0.0000 3.7340
0.0000 2.1687 0.0000
2.1687 0.0000 0.0000


CsSm2P2N6 PBE relaxed; V = 19.10 A^3/atom
1.0
5.7434 -3.2122 0.0000
5.7434 3.2122 0.0000
-3.1678 0.0000 5.6945
Cs Sm P N
1 2 2 6
Cartesian
0.0000 0.0000 0.0000
1.4832 0.0000 3.9783
6.8357 0.0000 1.7162
3.1923 0.0000 1.4925
5.1266 0.0000 4.2020
2.4383 1.3171 1.9424
4.5703 0.0000 0.7397
5.8806 1.3171 3.7521
2.4383 -1.3171 1.9424
3.7486 0.0000 4.9548
5.8806 -1.3171 3.7521


CsTb2P2N6 PBE relaxed; V = 18.23 A^3/atom
1.0
5.7222 -3.1483 0.0000
5.7222 3.1483 0.0000
-3.1633 0.0000 5.5643
Cs Tb P N
1 2 2 6
Cartesian
0.0000 0.0000 0.0000
1.4753 0.0000 3.8885
6.8059 0.0000 1.6758
3.1805 0.0000 1.4627
5.1007 0.0000 4.1016
2.4245 1.3151 1.9094
4.5649 0.0000 0.7237
5.8567 1.3151 3.6548
2.4245 -1.3151 1.9094
3.7163 0.0000 4.8405
5.8567 -1.3151 3.6548


CsTePN2 PBE relaxed; energy above the most stable polymorph in this dataset = 0 meV per atom; V = 19.51 A^3/atom
1.0
4.3603 0.0000 0.0000
0.0000 4.3603 0.0000
0.0000 0.0000 5.1313
Cs Te P N
1 1 1 2
Cartesian
0.0000 0.0000 0.0000
2.1801 2.1801 0.0000
2.1801 2.1801 2.5657
0.0000 2.1801 2.5657
2.1801 0.0000 2.5657


CsTePN2 PBE relaxed; energy above the most stable polymorph in this dataset = 928 meV per atom; V = 30.35 A^3/atom
1.0
4.3667 0.0000 0.0000
0.0000 4.3667 0.0000
0.0000 0.0000 7.9583
Cs Te P N
1 1 1 2
Cartesian
0.0000 0.0000 0.0000
0.0000 0.0000 3.9791
2.1834 2.1834 3.9791
0.0000 2.1834 0.0000
2.1834 0.0000 0.0000


CsTh2P2N6 PBE relaxed; V = 18.69 A^3/atom
1.0
5.5729 -3.2554 0.0000
5.5729 3.2554 0.0000
-3.3704 0.0000 5.6673
Cs Th P N
1 2 2 6
Cartesian
0.0000 0.0000 0.0000
1.1046 0.0000 3.9625
6.6708 0.0000 1.7048
3.2174 0.0000 1.7981
4.5580 0.0000 3.8691
2.3058 1.3153 2.0732
4.3822 0.0000 0.6919
5.4695 1.3153 3.5941
2.3058 -1.3153 2.0732
3.3931 0.0000 4.9753
5.4695 -1.3153 3.5941


Cs2UP2N6 PBE relaxed; V = 18.92 A^3/atom
1.0
2.9179 1.6847 7.0565
-2.9179 1.6847 7.0565
0.0000 -3.3693 7.0565
Cs U P N
2 1 2 6
Cartesian
0.0000 0.0000 4.4295
0.0000 0.0000 16.7399
0.0000 0.0000 0.0000
0.0000 0.0000 8.2830
0.0000 0.0000 12.8864
0.0000 -1.5850 8.3385
-1.3726 0.7925 8.3385
-1.3726 -0.7925 12.8310
1.3726 0.7925 8.3384
1.3726 -0.7925 12.8310
0.0000 1.5850 12.8310


CsUPN4 PBE relaxed; V = 17.60 A^3/atom
1.0
5.4665 0.0000 0.0000
0.0000 5.6763 0.0000
-2.6084 0.0000 7.9419
Cs U P N
2 2 2 8
Cartesian
0.1371 1.4191 3.4372
2.7210 4.2573 4.5048
1.5549 4.2573 0.3206
1.3032 1.4191 7.6213
-1.5212 1.4191 6.8014
4.3794 4.2573 1.1405
0.4170 1.4191 0.4021
0.2570 4.2573 2.0724
-0.4803 0.1393 6.7197
-0.4803 2.6988 6.7197
3.3384 2.9775 1.2222
3.3384 5.5370 1.2222
2.6012 1.4191 5.8695
2.4411 4.2573 7.5399


CsY2P2N6 PBE relaxed; V = 18.11 A^3/atom
1.0
5.7173 -3.1415 0.0000
5.7173 3.1415 0.0000
-3.1683 0.0000 5.5455
Cs Y P N
1 2 2 6
Cartesian
0.0000 0.0000 0.0000
1.4679 0.0000 3.8741
6.7984 0.0000 1.6714
3.1754 0.0000 1.4572
5.0909 0.0000 4.0884
2.4216 1.3160 1.9040
4.5608 0.0000 0.7194
5.8448 1.3160 3.6415
2.4216 -1.3160 1.9040
3.7056 0.0000 4.8261
5.8448 -1.3160 3.6415


CsPa5N8 PBE relaxed; V = 18.54 A^3/atom
1.0
8.9645 -1.7943 0.0000
8.9645 1.7943 0.0000
-2.3810 0.0000 8.0689
Cs Pa N
1 5 8
Cartesian
0.0000 0.0000 0.0000
1.8540 0.0000 3.3684
1.6424 0.0000 6.6096
7.7740 0.0000 4.0345
13.9056 0.0000 1.4593
13.6940 0.0000 4.7006
0.0062 0.0000 4.8676
4.0815 0.0000 2.9373
5.5295 0.0000 0.2536
5.9071 0.0000 5.3853
9.6409 0.0000 2.6836
10.0185 0.0000 7.8153
11.4665 0.0000 5.1316
15.5418 0.0000 3.2013


CsPa4PbN8 PBE relaxed; V = 18.81 A^3/atom
1.0
3.6092 2.0838 5.8344
-3.6092 2.0838 5.8344
0.0000 -4.1676 5.8344
Cs Pa Pb N
1 4 1 8
Cartesian
0.0000 0.0000 0.0000
0.0000 -2.1516 9.5166
-1.8634 1.0758 9.5166
0.0000 0.0000 13.2562
1.8634 1.0758 9.5166
0.0000 0.0000 6.4806
-1.8675 -1.0782 8.2979
0.0000 -1.6762 4.7785
-1.4517 0.8381 4.7785
0.0000 0.0000 2.7147
1.4517 0.8381 4.7785
0.0000 0.0000 10.8861
1.8675 -1.0782 8.2979
0.0000 2.1564 8.2979


CsRbPa4N8 PBE relaxed; V = 19.77 A^3/atom
1.0
3.5798 2.0668 6.2342
-3.5798 2.0668 6.2342
0.0000 -4.1336 6.2342
Cs Rb Pa N
1 1 4 8
Cartesian
0.0000 0.0000 0.0000
0.0000 0.0000 11.6971
-1.8579 -1.0726 8.6178
0.0000 0.0000 4.5256
1.8579 -1.0726 8.6178
0.0000 2.1453 8.6178
0.0000 -2.1651 9.7630
-1.8750 1.0825 9.7630
0.0000 0.0000 6.6822
-1.5118 -0.8728 13.8946
0.0000 0.0000 15.8886
1.8750 1.0825 9.7630
1.5118 -0.8728 13.8946
0.0000 1.7456 13.8946


no.,magnetic moment (Bohr magnetons per cell),E_form (uncorrected) (meV/atom),uncorrected energy (eV per atom)
1,3.332,2598,-2.68
2,0.735,-696,-7.16
3,0.355,-730,-7.17
4,2.311,1537,-3.67
5,3.020,2465,-2.75
6,0.564,-894,-7.85
7,0.063,-575,-7.28
8,0.000,-728,-7.99
9,0.007,-724,-7.50
10,0.737,-1398,-9.61
11,0.000,-884,-8.68
12,0.000,-836,-8.44